Material: ZrAl4Pt2
Method: DFT, PBE-GGA
State: optimized geometry

## Properties
Total moment: 0.00 μB per cell
ΔE_f: -922 meV per atom
DOS(E_F): 3.15 states/eV/f.u.
Crystal system: orthorhombic

abc: 16.9311 4.2070 6.5919
angles: 90.00 90.00 90.00
Closest atoms and distances in Å follow each position.
Space group Pnma (No. 62)
Asymmetric unit:
Zr: 0.1403 0.2500 0.0051 (multiplicity 4)  9 Al 2.91-3.21, 4 Pt 3.16-3.22
Al: 0.0350 0.7500 0.8562 (multiplicity 4)  3 Pt 2.52-2.56, 1 Al 2.79
Al: 0.0687 0.2500 0.4821 (multiplicity 4)  4 Pt 2.52-2.67
Al: 0.1844 0.7500 0.3178 (multiplicity 4)  4 Pt 2.54-2.58, 1 Al 2.73
Al: 0.1924 0.7500 0.7308 (multiplicity 4)  3 Pt 2.51-2.52, 2 Al 2.73-2.79
Pt: 0.0371 0.7500 0.2449 (multiplicity 4)  7 Al 2.52-2.67
Pt: 0.2162 0.2500 0.5298 (multiplicity 4)  7 Al 2.51-2.58